Entry 1:
# BeBRu PBE optimized geometry
# * energy of formation from the pure elements: -18.48 kJ/mol of atoms
# * final energy: -6.75 eV per atom
# * relative energy among the computed polymorphs: 181.5 meV/atom
data_BeBRu
_chemical_formula_sum 'Be4 B4 Ru4'
_cell_length_a 7.650
_cell_length_b 3.221
_cell_length_c 4.744
_cell_angle_alpha 90.00
_cell_angle_beta 104.96
_cell_angle_gamma 90.00
_space_group_name_H-M_alt 'C 1 2/m 1'
_space_group_IT_number 12
loop_
_space_group_symop_operation_xyz
'x,y,z'
'-x,-y,-z'
'-x,y,-z'
'x,-y,z'
'x+1/2,y+1/2,z'
'-x+1/2,-y+1/2,-z'
'-x+1/2,y+1/2,-z'
'x+1/2,-y+1/2,z'
loop_
_atom_site_label
_atom_site_type_symbol
_atom_site_fract_x
_atom_site_fract_y
_atom_site_fract_z
Be1 Be 0.211 0.000 0.360
B1 B 0.098 0.500 0.159
Ru1 Ru 0.105 0.000 0.812



Entry 2:
# BeBRu PBE optimized geometry
# * energy of formation from the pure elements: -15.85 kJ/mol of atoms
# * final energy: -6.72 eV per atom
# * relative energy among the computed polymorphs: 208.8 meV/atom
data_BeBRu
_chemical_formula_sum 'Be1 B1 Ru1'
_cell_length_a 3.4242
_cell_length_b 3.4242
_cell_length_c 2.7788
_cell_angle_alpha 90.00
_cell_angle_beta 90.00
_cell_angle_gamma 120.00
_space_group_name_H-M_alt 'P 3 m 1'
_space_group_IT_number 156
loop_
_space_group_symop_operation_xyz
'x,y,z'
'-y,x-y,z'
'-x+y,-x,z'
'-y,-x,z'
'-x+y,y,z'
'x,x-y,z'
loop_
_atom_site_label
_atom_site_type_symbol
_atom_site_fract_x
_atom_site_fract_y
_atom_site_fract_z
Be1 Be 0.0000 0.0000 0.0000
B1 B 0.3333 0.6667 0.1072
Ru1 Ru 0.6667 0.3333 0.4402